# 1
This record from the Alexandria database describes an optimized crystal structure of Cu3Ir. The functional is PBEsol.

a b c (Å): 2.6138 4.4261 4.4935
angles (deg): 101.46 106.90 90.02
Positions (direct):
Cu (0.7518, 0.7540, 0.5039)
Cu (0.2483, 0.2460, 0.4961)
Ir (0.0000, 0.5000, 0.0000)
Cu (0.5000, 0.0000, 0.0000)

Summary:
- uncorrected energy (eV per cell) = -22.405
- density (Mg/m³) = 13.07
- spin magnetization (μB per formula unit) = 0.00

# 2
This record from the Alexandria database describes an optimized crystal structure of Cu3Ir. The functional is PBEsol.

a b c (Å): 2.6047 2.6047 8.3753
angles (deg): 90.00 90.00 120.00
Positions (direct):
Cu (0.0000, 0.0000, 0.0000)
Cu (0.3333, 0.6667, 0.7598)
Ir (0.0000, 0.0000, 0.5000)
Cu (0.3333, 0.6667, 0.2402)

Summary:
- uncorrected energy (eV per cell) = -22.464
- density (Mg/m³) = 12.92
- spin magnetization (μB per formula unit) = 0.00

# 3
This record from the Alexandria database describes an optimized crystal structure of K2CuIr. The functional is PBEsol.

a b c (Å): 2.9056 3.9030 9.6846
angles (deg): 90.00 90.00 90.00
Positions (direct):
K (0.5000, 0.5000, 0.3468)
Cu (0.0000, 0.0000, 0.5986)
Ir (0.5000, 0.5000, 0.6536)
K (0.0000, 0.0000, 0.9010)

Summary:
- distance to the lowest polymorph of the same formula (kJ per mole of atoms) = 0.0
- uncorrected energy (eV per cell) = -14.339
- density (Mg/m³) = 5.05
- spin magnetization (μB per formula unit) = 0.00

# 4
This record from the Alexandria database describes an optimized crystal structure of K2CuIr. The functional is PBEsol.

a b c (Å): 2.6003 6.0097 6.0097
angles (deg): 90.00 90.00 90.00
Positions (direct):
Ir (0.5000, 0.0000, 0.0000)
Cu (0.5000, 0.5000, 0.5000)
K (0.0000, 0.0000, 0.5000)
K (0.0000, 0.5000, 0.0000)

Summary:
- distance to the lowest polymorph of the same formula (kJ per mole of atoms) = 37.4
- uncorrected energy (eV per cell) = -12.788
- density (Mg/m³) = 5.90
- spin magnetization (μB per formula unit) = 0.00

# 5
This record from the Alexandria database describes an optimized crystal structure of KSc2CuIr. The functional is PBEsol.

a b c (Å): 4.5554 4.6456 4.6456
angles (deg): 90.00 90.00 90.00
Positions (direct):
Sc (0.0000, 0.5000, 0.0000)
Sc (0.0000, 0.0000, 0.5000)
Cu (0.5000, 0.5000, 0.5000)
K (0.0000, 0.0000, 0.0000)
Ir (0.5000, 0.0000, 0.0000)

Summary:
- uncorrected energy (eV per cell) = -19.436
- density (Mg/m³) = 6.50
- spin magnetization (μB per formula unit) = 0.00

# 6
This record from the Alexandria database describes an optimized crystal structure of LaCuIr. The functional is PBEsol.

a b c (Å): 3.9169 4.2438 4.2438
angles (deg): 120.00 90.00 90.00
Positions (direct):
Cu (0.0000, 0.0000, 0.0000)
Ir (0.0000, 0.3333, 0.6667)
La (0.5000, 0.6667, 0.3333)

Summary:
- uncorrected energy (eV per cell) = -20.471
- density (Mg/m³) = 10.73
- spin magnetization (μB per formula unit) = 0.00

# 7
This record from the Alexandria database describes an optimized crystal structure of La2CuIrO6. The functional is PBEsol.

a b c (Å): 5.4811 5.8953 7.6640
angles (deg): 90.00 89.67 90.00
Each line ends with the local moment (μB).
Positions (direct):
La (0.5192, 0.9282, 0.7502)  0.01
La (0.0192, 0.5718, 0.2502)  0.01
O (0.8210, 0.7098, 0.9492)  0.10
O (0.6790, 0.2098, 0.5508)  0.10
O (0.8017, 0.6888, 0.5466)  0.09
O (0.4042, 0.5249, 0.7522)  0.12
O (0.1983, 0.3112, 0.4534)  0.09
Cu (0.0000, 0.0000, 0.5000)  0.47
O (0.3210, 0.7902, 0.4492)  0.10
O (0.1790, 0.2902, 0.0508)  0.10
Ir (0.5000, 0.5000, 0.5000)  0.73
La (0.4808, 0.0718, 0.2498)  0.01
Ir (0.0000, 0.0000, 0.0000)  0.73
O (0.3017, 0.8112, 0.0466)  0.09
O (0.9042, 0.9751, 0.2522)  0.12
O (0.0958, 0.0249, 0.7478)  0.12
La (0.9808, 0.4282, 0.7498)  0.01
O (0.5958, 0.4751, 0.2478)  0.12
O (0.6983, 0.1888, 0.9534)  0.09
Cu (0.5000, 0.5000, 0.0000)  0.47

Summary:
- energy relative to the elements, uncorrected (kJ per mole of atoms) = -202
- uncorrected energy (eV per cell) = -154.579
- density (Mg/m³) = 8.44
- spin magnetization (μB per formula unit) = 1.95

# 8
This record from the Alexandria database describes an optimized crystal structure of Sr2La6Cu3IrO16. The functional is PBEsol.

a b c (Å): 5.2988 8.8752 8.8730
angles (deg): 76.66 72.63 72.63
Each line ends with the local moment (μB).
Positions (direct):
O (0.3167, 0.9357, 0.4308)  0.00
O (0.1771, 0.8179, 0.8279)  0.00
O (0.1591, 0.3040, 0.3778)  0.00
Sr (0.3630, 0.6521, 0.6219)  0.00
Sr (0.6370, 0.3479, 0.3781)  0.00
La (0.1419, 0.6277, 0.0886)  0.00
O (0.3076, 0.3927, 0.9921)  0.00
Ir (0.0000, 0.5000, 0.5000)  -0.25
O (0.2501, 0.8827, 0.1280)  0.00
O (0.7391, 0.8827, 0.1280)  0.00
O (0.7268, 0.3940, 0.6609)  -0.03
O (0.7817, 0.6060, 0.3391)  -0.03
O (0.7499, 0.1173, 0.8720)  0.00
O (0.2609, 0.1173, 0.8720)  0.00
O (0.2183, 0.3940, 0.6609)  -0.03
La (0.8581, 0.3723, 0.9114)  0.00
Cu (0.0000, 0.0000, 0.0000)  0.03
Cu (0.5012, 0.2476, 0.7501)  -0.03
O (0.8229, 0.1821, 0.1721)  0.00
Cu (0.4988, 0.7524, 0.2499)  -0.03
La (0.3564, 0.1388, 0.1484)  0.00
O (0.6924, 0.6073, 0.0079)  0.00
La (0.6436, 0.8612, 0.8516)  0.00
La (0.8618, 0.8939, 0.3824)  0.00
O (0.6833, 0.0643, 0.5692)  0.00
O (0.2732, 0.6060, 0.3391)  -0.03
O (0.8409, 0.6960, 0.6222)  0.00
La (0.1382, 0.1061, 0.6176)  0.00

Summary:
- energy relative to the elements, uncorrected (kJ per mole of atoms) = -237
- uncorrected energy (eV per cell) = -211.313
- density (Mg/m³) = 7.29
- spin magnetization (μB per formula unit) = 0.46